(1)
## La3PuTh2P6 (PBE)

Data for La3PuTh2P6 after structural relaxation.

calculated density = 6.984 g/cm3
total energy = -7.877 eV per atom
energy of formation from the pure elements = -1.509 eV/atom

Unit cell a=18.281 b=4.186 c=8.378 alpha=90.00 beta=103.57 gamma=90.00
Space group C2/m (No. 12)
Symmetry-distinct sites (fractional):
1 La 0.000 0.000 0.000 x2
2 La 0.166 0.500 0.334 x4
3 Pu 0.000 0.000 0.500 x2
4 Th 0.165 0.500 0.830 x4
5 P 0.002 0.500 0.739 x4
6 P 0.164 0.000 0.588 x4
7 P 0.169 0.000 0.077 x4

---

(2)
## LaPu2ThP4 (PBE)

Data for LaPu2ThP4 after structural relaxation.

calculated density = 8.343 g/cm3
total energy = -9.170 eV per atom
energy of formation from the pure elements = -1.338 eV/atom

Unit cell a=7.086 b=4.116 c=7.126 alpha=90.00 beta=109.75 gamma=90.00
Space group P2/m (No. 10)
Symmetry-distinct sites (fractional):
1 La 0.000 0.000 0.000 x1
2 Pu 0.500 0.000 0.500 x1
3 Pu 0.500 0.500 0.000 x1
4 Th 0.000 0.500 0.500 x1
5 P 0.262 0.000 0.751 x2
6 P 0.265 0.500 0.262 x2

---

(3)
## La2TmPuP4 (PBE)

Data for La2TmPuP4 after structural relaxation.

calculated density = 6.843 g/cm3
total energy = -7.731 eV per atom
energy of formation from the pure elements = -1.444 eV/atom

Unit cell a=7.115 b=4.126 c=7.142 alpha=90.00 beta=109.47 gamma=90.00
Space group P2/m (No. 10)
Symmetry-distinct sites (fractional):
1 La 0.000 0.000 0.000 x1
2 La 0.500 0.500 0.000 x1
3 Tm 0.000 0.500 0.500 x1
4 Pu 0.500 0.000 0.500 x1
5 P 0.244 0.000 0.732 x2
6 P 0.257 0.500 0.270 x2

---

(4)
## LaTm2PuP4 (PBE)

Data for LaTm2PuP4 after structural relaxation.

calculated density = 7.506 g/cm3
total energy = -7.679 eV per atom
energy of formation from the pure elements = -1.448 eV/atom

Unit cell a=6.986 b=4.051 c=7.006 alpha=90.00 beta=109.53 gamma=90.00
Space group P2/m (No. 10)
Symmetry-distinct sites (fractional):
1 La 0.000 0.000 0.000 x1
2 Tm 0.500 0.000 0.500 x1
3 Tm 0.500 0.500 0.000 x1
4 Pu 0.000 0.500 0.500 x1
5 P 0.256 0.000 0.743 x2
6 P 0.262 0.500 0.262 x2